[1]
Density functional theory data (PBE) for a relaxed Na3Ac3AuO8 crystal.

Unit cell a=6.9869 b=6.9869 c=7.0796 alpha=116.70 beta=116.70 gamma=64.51
Last column: nearest neighbours and their distance in Å.
Element x y z (fractional)
Na 0.0000 0.0000 0.0000  6 O 2.57-2.62
Na 0.0000 0.5000 0.5000  6 O 2.52-2.69
Na 0.5000 0.0000 0.5000  6 O 2.52-2.69
Ac 0.0000 0.5000 0.0000  6 O 2.46-2.59
Ac 0.5000 0.0000 0.0000  6 O 2.46-2.59
Ac 0.5000 0.5000 0.5000  6 O 2.46-2.55
Au 0.0000 0.0000 0.5000  6 O 2.09-2.32
O 0.2079 0.2079 0.7151  1 Au 2.09
O 0.2282 0.7688 0.2780  1 Au 2.32, 1 Na 2.52, 2 Ac 2.53-2.55
O 0.2312 0.7718 0.7220  1 Au 2.32, 1 Na 2.52, 2 Ac 2.53-2.55
O 0.2570 0.2570 0.2327  3 Ac 2.46, 3 Na 2.57-2.69
O 0.7430 0.7430 0.7673  3 Ac 2.46, 3 Na 2.57-2.69
O 0.7688 0.2282 0.2780  1 Au 2.32, 1 Na 2.52, 2 Ac 2.53-2.55
O 0.7718 0.2312 0.7220  1 Au 2.32, 1 Na 2.52, 2 Ac 2.53-2.55
O 0.7921 0.7921 0.2849  1 Au 2.09

Energy relative to the elements, uncorrected: -1979 meV per atom
Symmetry: No. 12
DOS at the Fermi energy: 0.64 states/eV/f.u.

---

[2]
Density functional theory data (PBE) for a relaxed NaAcP2Au2 crystal.

Unit cell a=4.3648 b=4.3648 c=8.2424 alpha=90.00 beta=90.00 gamma=120.00
Last column: nearest neighbours and their distance in Å.
Element x y z (fractional)
Na 0.0000 0.0000 0.0000  6 Au 3.17, 6 P 3.31
Ac 0.0000 0.0000 0.5000  6 P 3.20, 6 Au 3.34
P 0.3333 0.6667 0.7402  3 Au 2.53
P 0.6667 0.3333 0.2598  3 Au 2.53
Au 0.3333 0.6667 0.2332  3 P 2.53
Au 0.6667 0.3333 0.7668  3 P 2.53

Energy of formation from the pure elements: -0.7327 eV/atom
Symmetry: No. 164
DOS at the Fermi energy: 0.23 states/eV/f.u.

---

[3]
Density functional theory data (PBE) for a relaxed NaAcPdAu crystal.

Unit cell a=5.2358 b=5.2358 c=5.2358 alpha=60.00 beta=60.00 gamma=60.00
Last column: nearest neighbours and their distance in Å.
Element x y z (fractional)
Na 0.0000 0.0000 0.0000  4 Pd 3.21, 4 Au 3.21
Ac 0.5000 0.5000 0.5000  4 Au 3.21, 4 Pd 3.21
Pd 0.2500 0.2500 0.2500  4 Ac 3.21, 4 Na 3.21
Au 0.7500 0.7500 0.7500  4 Ac 3.21, 4 Na 3.21

Energy of formation from the pure elements: -0.5262 eV/atom
Symmetry: No. 216
DOS at the Fermi energy: 2.45 states/eV/f.u.

---

[4]
Density functional theory data (PBE) for a relaxed NaAcPmAu crystal.

Unit cell a=5.5399 b=5.5399 c=5.5399 alpha=60.00 beta=60.00 gamma=60.00
Last column: nearest neighbours and their distance in Å.
Element x y z (fractional)
Na 0.0000 0.0000 0.0000  4 Ac 3.39, 4 Pm 3.39
Ac 0.2500 0.2500 0.2500  4 Na 3.39, 4 Au 3.39
Pm 0.7500 0.7500 0.7500  4 Na 3.39, 4 Au 3.39
Au 0.5000 0.5000 0.5000  4 Ac 3.39, 4 Pm 3.39

Energy of formation from the pure elements: -0.1583 eV/atom
Symmetry: No. 216
DOS at the Fermi energy: 4.65 states/eV/f.u.

---

[5]
Density functional theory data (PBE) for a relaxed NaAcSb2Au2 crystal.

Unit cell a=4.7528 b=4.7528 c=8.4769 alpha=90.00 beta=90.00 gamma=120.00
Last column: nearest neighbours and their distance in Å.
Element x y z (fractional)
Na 0.0000 0.0000 0.0000  6 Au 3.44, 6 Sb 3.45
Ac 0.0000 0.0000 0.5000  6 Sb 3.48, 6 Au 3.50
Sb 0.3333 0.6667 0.7526  3 Au 2.74
Sb 0.6667 0.3333 0.2474  3 Au 2.74
Au 0.3333 0.6667 0.2438  3 Sb 2.74
Au 0.6667 0.3333 0.7562  3 Sb 2.74

Energy relative to the elements, uncorrected: -697 meV per atom
Symmetry: No. 164
DOS at the Fermi energy: 0.36 states/eV/f.u.

---

[6]
Density functional theory data (PBE) for a relaxed NaAc2Si3Au12 crystal.

Unit cell a=8.0503 b=8.0503 c=8.0503 alpha=68.10 beta=68.10 gamma=68.10
Last column: nearest neighbours and their distance in Å.
Element x y z (fractional)
Na 0.0000 0.0000 0.0000  6 Au 2.74
Ac 0.3925 0.3925 0.3925  6 Au 3.05-3.40
Ac 0.6075 0.6075 0.6075  6 Au 3.05-3.40
Si 0.0000 0.0000 0.5000  6 Au 2.46-2.50
Si 0.0000 0.5000 0.0000  6 Au 2.46-2.50
Si 0.5000 0.0000 0.0000  6 Au 2.46-2.50
Au 0.1381 0.1381 0.6246  1 Si 2.46, 1 Na 2.74
Au 0.1381 0.6246 0.1381  1 Si 2.46, 1 Na 2.74
Au 0.1428 0.6870 0.6870  2 Si 2.50
Au 0.3130 0.3130 0.8572  2 Si 2.50
Au 0.3130 0.8572 0.3130  2 Si 2.50
Au 0.3754 0.8619 0.8619  1 Si 2.46, 1 Na 2.74
Au 0.6246 0.1381 0.1381  1 Si 2.46, 1 Na 2.74
Au 0.6870 0.1428 0.6870  2 Si 2.50
Au 0.6870 0.6870 0.1428  2 Si 2.50
Au 0.8572 0.3130 0.3130  2 Si 2.50
Au 0.8619 0.3754 0.8619  1 Si 2.46, 1 Na 2.74
Au 0.8619 0.8619 0.3754  1 Si 2.46, 1 Na 2.74

Energy relative to the elements, uncorrected: -182 meV per atom
Symmetry: No. 166
DOS at the Fermi energy: 3.27 states/eV/f.u.

---

[7]
Density functional theory data (PBE) for a relaxed NaAcSiAu crystal.

Unit cell a=5.2729 b=5.2729 c=5.2729 alpha=60.00 beta=60.00 gamma=60.00
Last column: nearest neighbours and their distance in Å.
Element x y z (fractional)
Na 0.0000 0.0000 0.0000  4 Au 3.23, 4 Si 3.23
Ac 0.5000 0.5000 0.5000  4 Au 3.23, 4 Si 3.23
Si 0.2500 0.2500 0.2500  4 Ac 3.23, 4 Na 3.23
Au 0.7500 0.7500 0.7500  4 Ac 3.23, 4 Na 3.23

Energy relative to the elements, uncorrected: -335 meV per atom
Symmetry: No. 216
DOS at the Fermi energy: 2.71 states/eV/f.u.

---

[8]
Density functional theory data (PBE) for a relaxed NaAcSn2Au4 crystal.

Unit cell a=9.6852 b=9.6852 c=9.6852 alpha=28.89 beta=28.89 gamma=28.89
Last column: nearest neighbours and their distance in Å.
Element x y z (fractional)
Na 0.0000 0.0000 0.0000  8 Au 2.95-2.99
Ac 0.5000 0.5000 0.5000  6 Au 3.24
Sn 0.2625 0.2625 0.2625  7 Au 2.94-2.97
Sn 0.7375 0.7375 0.7375  7 Au 2.94-2.97
Au 0.1073 0.1073 0.1073  3 Sn 2.97, 1 Na 2.99, 3 Ac 3.24
Au 0.3681 0.3681 0.3681  4 Sn 2.94-2.96, 3 Na 2.95
Au 0.6319 0.6319 0.6319  4 Sn 2.94-2.96, 3 Na 2.95
Au 0.8927 0.8927 0.8927  3 Sn 2.97, 1 Na 2.99, 3 Ac 3.24

Energy of formation from the pure elements: -0.4838 eV/atom
Symmetry: No. 166
DOS at the Fermi energy: 3.50 states/eV/f.u.

---

Number 1: V 17.62 Å³ per atom. Number 2: V 22.66 Å³ per atom. Number 3: V 25.37 Å³ per atom. Number 4: V 30.06 Å³ per atom. Number 5: V 27.64 Å³ per atom. Number 6: V 24.01 Å³ per atom. Number 7: V 25.92 Å³ per atom. Number 8: V 23.44 Å³ per atom.